# 1
## PmSb2ClO4 (PBE-GGA)

Data for a geometry-optimized PmSb2ClO4 structure.

```
PmSb2ClO4
1.0
-2.6881 0.3227 -2.7383
0.5385 -3.6892 -0.9633
-6.2802 -2.4511 5.8763
Pm Sb Cl O
1 2 1 4
direct
0.0000 0.0000 0.0000
0.5000 0.5000 0.2819
0.5000 0.5000 0.7181
0.0000 0.0000 0.5000
0.0000 0.5000 0.1658
0.5000 0.0000 0.8342
0.5000 0.0000 0.1658
0.0000 0.5000 0.8342
```

Calculated values
Formation energy (no corrections)   -191.0 kJ/mol of atoms

# 2
## NdZn4GaCu2 (PBE-GGA)

Data for a geometry-optimized NdZn4GaCu2 structure.

```
NdZn4GaCu2
1.0
-0.5960 -0.9044 -4.0948
-2.0721 -3.5231 -1.1109
-8.6526 3.0490 -1.6047
Nd Zn Ga Cu
1 4 1 2
direct
0.0000 0.0000 0.0000
0.4025 0.4025 0.7925
0.8779 0.8779 0.3663
0.1221 0.1221 0.6337
0.5975 0.5975 0.2075
0.5000 0.5000 0.5000
0.7559 0.7559 0.7322
0.2441 0.2441 0.2678
```

Calculated values
Formation enthalpy at 0 K   -1.1 eV/f.u.
Fermi-level density of states   0.47 states/eV/atom

Repeat the first record exactly.
## PmSb2ClO4 (PBE-GGA)

Data for a geometry-optimized PmSb2ClO4 structure.

```
PmSb2ClO4
1.0
-2.6881 0.3227 -2.7383
0.5385 -3.6892 -0.9633
-6.2802 -2.4511 5.8763
Pm Sb Cl O
1 2 1 4
direct
0.0000 0.0000 0.0000
0.5000 0.5000 0.2819
0.5000 0.5000 0.7181
0.0000 0.0000 0.5000
0.0000 0.5000 0.1658
0.5000 0.0000 0.8342
0.5000 0.0000 0.1658
0.0000 0.5000 0.8342
```

Calculated values
Formation energy (no corrections)   -191.0 kJ/mol of atoms